Entry 1:
Material: Hf2ScSn
Method: DFT, PBE-GGA
State: relaxed

a = 4.389 Å, b = 4.389 Å, c = 4.536 Å
α = 90.00°, β = 90.00°, γ = 90.00°
Sites, in units of the cell vectors:
Hf: 0.000 0.500 0.000
Hf: 0.500 0.000 0.000
Sc: 0.000 0.000 0.500
Sn: 0.500 0.500 0.500

Computed properties:
SG = P4/mmm, No. 123

Entry 2:
Material: HfScSn2
Method: DFT, PBE-GGA
State: relaxed

a = 9.937 Å, b = 9.937 Å, c = 9.937 Å
α = 19.10°, β = 19.10°, γ = 19.10°
Sites, in units of the cell vectors:
Hf: 0.000 0.000 0.000
Sc: 0.500 0.500 0.500
Sn: 0.251 0.251 0.251
Sn: 0.749 0.749 0.749

Computed properties:
SG = R-3m, No. 166
polymorph energy (0 for the lowest one) = 39 kJ/mol of formula units

Entry 3:
Material: Hf5ScSn3
Method: DFT, PBE-GGA
State: relaxed

a = 9.927 Å, b = 9.927 Å, c = 9.927 Å
α = 138.75°, β = 138.75°, γ = 59.75°
Sites, in units of the cell vectors:
Hf: 0.000 0.000 0.000
Hf: 0.066 0.566 0.889
Hf: 0.177 0.066 0.500
Hf: 0.323 0.823 0.889
Hf: 0.434 0.323 0.500
Hf: 0.500 0.500 0.000
Hf: 0.566 0.677 0.500
Hf: 0.677 0.177 0.111
Hf: 0.823 0.934 0.500
Hf: 0.934 0.434 0.111
Sc: 0.250 0.750 0.500
Sc: 0.750 0.250 0.500
Sn: 0.132 0.368 0.500
Sn: 0.250 0.250 0.000
Sn: 0.368 0.868 0.236
Sn: 0.632 0.132 0.764
Sn: 0.750 0.750 0.000
Sn: 0.868 0.632 0.500

Computed properties:
SG = I4/mcm, No. 140

Entry 4:
Material: HfSc2Sn
Method: DFT, PBE-GGA
State: relaxed

a = 4.470 Å, b = 4.470 Å, c = 4.450 Å
α = 90.00°, β = 90.00°, γ = 90.00°
Sites, in units of the cell vectors:
Hf: 0.000 0.000 0.000
Sc: 0.000 0.500 0.500
Sc: 0.500 0.000 0.500
Sn: 0.500 0.500 0.000

Computed properties:
SG = P4/mmm, No. 123

Entry 5:
Material: HfSc2Sn
Method: DFT, PBE-GGA
State: relaxed

a = 10.654 Å, b = 10.654 Å, c = 4.174 Å
α = 90.00°, β = 90.00°, γ = 157.02°
Sites, in units of the cell vectors:
Hf: 0.192 0.808 0.750
Hf: 0.808 0.192 0.250
Sc: 0.065 0.935 0.250
Sc: 0.439 0.561 0.250
Sc: 0.561 0.439 0.750
Sc: 0.935 0.065 0.750
Sn: 0.333 0.667 0.750
Sn: 0.667 0.333 0.250

Computed properties:
SG = Cmcm, No. 63

Entry 6:
Material: HfSc8Sn2
Method: DFT, PBE-GGA
State: relaxed

a = 8.149 Å, b = 8.149 Å, c = 5.254 Å
α = 103.41°, β = 103.41°, γ = 120.55°
Sites, in units of the cell vectors:
Hf: 0.000 0.000 0.000
Sc: 0.098 0.318 0.631
Sc: 0.209 0.791 0.000
Sc: 0.318 0.098 0.631
Sc: 0.403 0.403 0.207
Sc: 0.597 0.597 0.793
Sc: 0.682 0.902 0.369
Sc: 0.791 0.209 0.000
Sc: 0.902 0.682 0.369
Sn: 0.306 0.694 0.500
Sn: 0.694 0.306 0.500

Computed properties:
SG = C2/m, No. 12

E_form
In order: -0.28; -0.29; 0.15; -0.32; -0.24; -0.14
Unit: eV/atom